## MnAsF3 (PBE with a Hubbard U)

Data for a geometry-optimized MnAsF3 structure.

Output
total magnetic moment	5.22	μB/f.u.
calculated volume	85	Å³ per cell
raw total energy	-4.604	eV/atom

The structure in CIF format:
```
data_MnAsF3
_space_group_name_H-M_alt 'P m -3 m'
_space_group_IT_number 221
_space_group_name_Hall '-P 4 2 3'
_cell_length_a 4.403
_cell_length_b 4.403
_cell_length_c 4.403
_cell_angle_alpha 90.00
_cell_angle_beta 90.00
_cell_angle_gamma 90.00
loop_
_atom_site_label
_atom_site_type_symbol
_atom_site_fract_x
_atom_site_fract_y
_atom_site_fract_z
_atom_site_occupancy
Mn1 Mn 0.000 0.000 0.000 1
As1 As 0.500 0.500 0.500 1
F1 F 0.000 0.500 0.500 1
```